No. 1
Entry from Alexandria via LeMat-Bulk: a geometry-optimized BSBrN2 structure (PBE).

a b c (Å): 3.599 3.599 7.528
angles (deg): 90.00 90.00 90.00
Last column: magnetic moment on the atom in μB.
Fractional coordinates of all 5 atoms:
S (0.000, 0.000, 0.500)  0.00
Br (0.000, 0.000, 0.000)  0.04
N (0.000, 0.500, 0.000)  0.17
N (0.500, 0.000, 0.000)  0.17
B (0.500, 0.500, 0.500)  0.00

Computed properties:
**Space-group type**: P4/mmm (123)
**Energy above the lowest structure with this stoichiometry**: 1371 meV per atom
**Crystal system**: tetragonal

---

No. 2
Entry from Alexandria via LeMat-Bulk: a geometry-optimized BS2BrN structure (PBE).

a b c (Å): 5.008 5.008 3.753
angles (deg): 90.00 90.00 90.00
Last column: magnetic moment on the atom in μB.
Fractional coordinates of all 5 atoms:
Br (0.000, 0.000, 0.000)  -0.03
N (0.000, 0.000, 0.500)  0.39
S (0.000, 0.500, 0.000)  0.15
S (0.500, 0.000, 0.000)  0.15
B (0.500, 0.500, 0.500)  0.00

Computed properties:
**Space-group type**: P4/mmm (123)
**Energy above the lowest structure with this stoichiometry**: 2003 meV per atom
**Crystal system**: tetragonal

---

No. 3
Entry from Alexandria via LeMat-Bulk: a geometry-optimized BSe2BrN structure (PBE).

a b c (Å): 5.374 5.374 3.692
angles (deg): 90.00 90.00 90.00
Last column: magnetic moment on the atom in μB.
Fractional coordinates of all 5 atoms:
B (0.500, 0.500, 0.500)  0.00
Se (0.000, 0.500, 0.000)  0.07
Se (0.500, 0.000, 0.000)  0.07
Br (0.000, 0.000, 0.000)  -0.01
N (0.000, 0.000, 0.500)  0.25

Computed properties:
**Space-group type**: P4/mmm (123)
**Energy above the lowest structure with this stoichiometry**: 2154 meV per atom
**Crystal system**: tetragonal

---

No. 4
Entry from Alexandria via LeMat-Bulk: a geometry-optimized BSe2BrN structure (PBE).

a b c (Å): 8.236 8.236 2.546
angles (deg): 90.00 90.00 90.00
Last column: magnetic moment on the atom in μB.
Fractional coordinates of all 5 atoms:
Se (0.000, 0.500, 0.000)  0.10
Se (0.500, 0.000, 0.000)  0.10
B (0.000, 0.000, 0.000)  0.00
Br (0.500, 0.500, 0.500)  -0.01
N (0.000, 0.000, 0.500)  0.00

Computed properties:
**Space-group type**: P4/mmm (123)
**Energy above the lowest structure with this stoichiometry**: 0 meV per atom
**Crystal system**: tetragonal

---

No. 5
Entry from Alexandria via LeMat-Bulk: a geometry-optimized BSe2BrN structure (PBE).

a b c (Å): 4.458 4.458 4.866
angles (deg): 90.00 90.00 90.00
Last column: magnetic moment on the atom in μB.
Fractional coordinates of all 5 atoms:
N (0.500, 0.500, 0.500)  1.73
Br (0.000, 0.000, 0.500)  -0.03
Se (0.000, 0.500, 0.000)  -0.17
Se (0.500, 0.000, 0.000)  -0.17
B (0.000, 0.000, 0.000)  -0.01

Computed properties:
**Space-group type**: P4/mmm (123)
**Energy above the lowest structure with this stoichiometry**: 1563 meV per atom
**Crystal system**: tetragonal

---

No. 6
Entry from Alexandria via LeMat-Bulk: a geometry-optimized SiBBrN2 structure (PBE).

a b c (Å): 3.399 5.259 3.399
angles (deg): 90.00 90.00 90.00
Fractional coordinates of all 5 atoms:
Br (0.500, 0.500, 0.500)
B (0.000, 0.000, 0.000)
Si (0.000, 0.500, 0.000)
N (0.500, 0.000, 0.000)
N (0.000, 0.000, 0.500)

Computed properties:
**Space-group type**: P4/mmm (123)
**Crystal system**: tetragonal

---

no.,formation energy without anion corrections (meV per atom),calculated total energy (eV per atom),total magnetic moment (μB per cell)
1,2795,-3.0309,0.48
2,2437,-2.5490,0.94
3,2279,-2.4504,0.55
4,124,-4.6049,0.33
5,1687,-3.0418,2.01
6,1467,-4.6181,0.00